Computed, not measured: an optimized crystal structure of NbZnCo2 at the GGA-PBE level of DFT.

Properties
Energy relative to the elements (kcal/mol of atoms): -1.62

a b c (Å): 4.0168 4.0168 7.6701
angles (deg): 90.00 90.00 120.00
With the nearest neighbours (Å) after each atom.
Sites, in units of the cell vectors:
Nb: 0.3333 0.6667 0.2500  8 Co 2.61-2.63
Nb: 0.6667 0.3333 0.7500  8 Co 2.61-2.63
Zn: 0.0000 0.0000 0.0000  6 Co 2.43
Zn: 0.0000 0.0000 0.5000  6 Co 2.43
Co: 0.3333 0.6667 0.5935  1 Co 2.40, 3 Zn 2.43, 4 Nb 2.61-2.63
Co: 0.3333 0.6667 0.9065  1 Co 2.40, 3 Zn 2.43, 4 Nb 2.61-2.63
Co: 0.6667 0.3333 0.0935  1 Co 2.40, 3 Zn 2.43, 4 Nb 2.61-2.63
Co: 0.6667 0.3333 0.4065  1 Co 2.40, 3 Zn 2.43, 4 Nb 2.61-2.63